[1]
DFT (PBE) results for a relaxed AcSm9Y2 crystal.

abc: 5.158 5.158 15.489
angles: 90.00 90.00 90.00
Space group P4/mmm (No. 123)
Symmetry-distinct sites (fractional):
Ac (0.000, 0.000, 0.000) [1 per cell]
Sm (0.000, 0.500, 0.173) [4 per cell]
Sm (0.000, 0.500, 0.500) [2 per cell]
Sm (0.500, 0.500, 0.000) [1 per cell]
Sm (0.500, 0.500, 0.337) [2 per cell]
Y (0.000, 0.000, 0.336) [2 per cell]

**Formation enthalpy at 0 K**: 2.73 kJ per mole of atoms
**DFT total energy**: -4.9308 eV per atom
**Total magnetization**: 0.00 Bohr magnetons per cell

=====

[2]
DFT (PBE) results for a relaxed Na2HfCdTe4 crystal.

abc: 7.629 4.244 7.909
angles: 90.00 109.20 90.00
Space group P2/m (No. 10)
Symmetry-distinct sites (fractional):
Na (0.000, 0.000, 0.000) [1 per cell]
Na (0.500, 0.500, 0.000) [1 per cell]
Hf (0.000, 0.500, 0.500) [1 per cell]
Cd (0.500, 0.000, 0.500) [1 per cell]
Te (0.221, 0.000, 0.727) [2 per cell]
Te (0.251, 0.500, 0.287) [2 per cell]

**Energy relative to the elements, uncorrected**: -0.729 eV per atom
**DFT total energy**: -3.9883 eV per atom
**Total magnetization**: 0.00 Bohr magnetons per cell

=====

[3]
DFT (PBE) results for a relaxed KTaCr crystal.

abc: 3.234 3.234 14.067
angles: 90.00 90.00 90.00
Space group I4mm (No. 107)
Symmetry-distinct sites (fractional):
K (0.000, 0.000, 0.000) [2 per cell]
Ta (0.000, 0.000, 0.273) [2 per cell]
Cr (0.000, 0.000, 0.695) [2 per cell]

**ΔE to the lowest computed polymorph**: 0.004 eV per atom
**Formation enthalpy at 0 K**: 96.26 kJ per mole of atoms
**DFT total energy**: -6.5269 eV per atom
**Total magnetization**: 2.88 Bohr magnetons per cell

=====

[4]
DFT (PBE) results for a relaxed BePH6CCl3 crystal.

abc: 5.753 7.922 16.497
angles: 94.01 91.70 91.27
Space group P1 (No. 1)
Symmetry-distinct sites (fractional):
Be (0.000, 0.000, 0.000) [1 per cell]
Be (0.099, 0.628, 0.375) [1 per cell]
Be (0.503, 0.106, 0.868) [1 per cell]
Be (0.611, 0.511, 0.503) [1 per cell]
P (0.350, 0.983, 0.221) [1 per cell]
P (0.363, 0.582, 0.725) [1 per cell]
P (0.705, 0.510, 0.036) [1 per cell]
P (0.899, 0.036, 0.540) [1 per cell]
H (0.052, 0.125, 0.673) [1 per cell]
H (0.074, 0.915, 0.534) [1 per cell]
H (0.104, 0.697, 0.824) [1 per cell]
H (0.134, 0.039, 0.191) [1 per cell]
H (0.203, 0.490, 0.846) [1 per cell]
H (0.291, 0.677, 0.661) [1 per cell]
H (0.326, 0.809, 0.235) [1 per cell]
H (0.339, 0.088, 0.360) [1 per cell]
H (0.412, 0.420, 0.690) [1 per cell]
H (0.465, 0.240, 0.297) [1 per cell]
H (0.508, 0.999, 0.158) [1 per cell]
H (0.533, 0.381, 0.023) [1 per cell]
H (0.558, 0.585, 0.167) [1 per cell]
H (0.569, 0.655, 0.761) [1 per cell]
H (0.631, 0.061, 0.326) [1 per cell]
H (0.637, 0.646, 0.990) [1 per cell]
H (0.693, 0.956, 0.509) [1 per cell]
H (0.763, 0.036, 0.676) [1 per cell]
H (0.804, 0.246, 0.643) [1 per cell]
H (0.823, 0.701, 0.149) [1 per cell]
H (0.834, 0.486, 0.173) [1 per cell]
H (0.912, 0.448, 0.005) [1 per cell]
H (0.959, 0.165, 0.489) [1 per cell]
H (0.985, 0.509, 0.768) [1 per cell]
C (0.141, 0.569, 0.799) [1 per cell]
C (0.457, 0.106, 0.310) [1 per cell]
C (0.732, 0.578, 0.142) [1 per cell]
C (0.878, 0.120, 0.644) [1 per cell]
Cl (0.153, 0.790, 0.031) [1 per cell]
Cl (0.236, 0.521, 0.276) [1 per cell]
Cl (0.246, 0.165, 0.954) [1 per cell]
Cl (0.360, 0.994, 0.766) [1 per cell]
Cl (0.363, 0.684, 0.466) [1 per cell]
Cl (0.451, 0.293, 0.525) [1 per cell]
Cl (0.655, 0.329, 0.852) [1 per cell]
Cl (0.742, 0.932, 0.910) [1 per cell]
Cl (0.777, 0.625, 0.601) [1 per cell]
Cl (0.850, 0.455, 0.412) [1 per cell]
Cl (0.857, 0.131, 0.094) [1 per cell]
Cl (0.956, 0.850, 0.356) [1 per cell]

**ΔE to the lowest computed polymorph**: 0.000 eV per atom
**DFT total energy**: -4.2503 eV per atom
**Total magnetization**: 0.20 Bohr magnetons per cell

=====

The highest total magnetization belongs to which entry?
KTaCr

=====

Which of these has the highest total magnetization?
KTaCr

=====

Which formula does entry 3 have?
KTaCr